Here is a relaxed structure of Er2ThGa from Alexandria. Energies are from PBE.

The structure belongs to space group P4/mmm (No. 123); the cell edges are 4.7548, 4.7548 and 4.7132 Å and the angles 90.00°, 90.00° and 90.00°. The inequivalent atoms are Er at (0.0000, 0.5000, 0.0000), Th at (0.0000, 0.0000, 0.5000) and Ga at (0.5000, 0.5000, 0.5000).

The calculation puts the formation energy at -189 meV/atom. For the total magnetic moment, the calculation gives 0.000 μB per formula unit. As for the density of states at the Fermi level: 1.33 states/eV per atom.